(1)
Below is HoMnH3 after structural relaxation, with properties calculated at the PBE level.

- Total energy: -0.37671 Ry/atom
- SG: Pm-3m, No. 221

a = 3.538 Å, b = 3.538 Å, c = 3.538 Å
α = 90.00°, β = 90.00°, γ = 90.00°
Last column: magnetic moment on the atom in μB.
Fractional coordinates of all 5 atoms:
Mn1 0.000 0.000 0.000  2.00
H1 0.000 0.500 0.000  -0.01
H2 0.500 0.000 0.000  -0.01
H3 0.000 0.000 0.500  -0.01
Ho1 0.500 0.500 0.500  -0.24

---

(2)
Below is PmGdCuGe after structural relaxation, with properties calculated at the PBE level.

- Formation enthalpy at 0 K: -489 meV/atom
- Total energy: -0.54205 Ry/atom
- SG: F-43m, No. 216

a = 5.064 Å, b = 5.064 Å, c = 5.064 Å
α = 60.00°, β = 60.00°, γ = 60.00°
Last column: magnetic moment on the atom in μB.
Fractional coordinates of all 4 atoms:
Pm1 0.500 0.500 0.500  0.20
Cu1 0.750 0.750 0.750  0.03
Gd1 0.000 0.000 0.000  7.22
Ge1 0.250 0.250 0.250  -0.06

---

(3)
Below is KZrIn after structural relaxation, with properties calculated at the PBE level.

- Formation enthalpy at 0 K: 275 meV/atom
- Total energy: -0.28318 Ry/atom
- SG: Pnma, No. 62

a = 13.734 Å, b = 5.702 Å, c = 5.482 Å
α = 90.00°, β = 90.00°, γ = 90.00°
Fractional coordinates of all 12 atoms:
K1 0.751 0.750 0.760
K2 0.749 0.250 0.260
K3 0.249 0.250 0.240
K4 0.251 0.750 0.740
Zr1 0.500 0.750 0.003
Zr2 0.000 0.750 0.497
Zr3 0.500 0.250 0.997
Zr4 0.000 0.250 0.503
In1 0.000 0.000 0.000
In2 0.000 0.500 0.000
In3 0.500 0.000 0.500
In4 0.500 0.500 0.500

---

(4)
Below is CdTc2F after structural relaxation, with properties calculated at the PBE level.

- Total energy: -0.37023 Ry/atom
- SG: Fm-3m, No. 225

a = 4.432 Å, b = 4.432 Å, c = 4.432 Å
α = 60.00°, β = 60.00°, γ = 60.00°
Last column: magnetic moment on the atom in μB.
Fractional coordinates of all 4 atoms:
Cd1 0.500 0.500 0.500  0.00
Tc1 0.250 0.250 0.250  0.89
Tc2 0.750 0.750 0.750  0.89
F1 0.000 0.000 0.000  0.04

---

(5)
Below is PmYBr6 after structural relaxation, with properties calculated at the PBE level.

- Total energy: -0.32955 Ry/atom
- SG: R-3, No. 148

a = 7.136 Å, b = 7.136 Å, c = 7.691 Å
α = 62.37°, β = 62.37°, γ = 60.00°
Fractional coordinates of all 8 atoms:
Br1 0.255 0.905 0.253
Br2 0.745 0.095 0.747
Br3 0.413 0.745 0.747
Br4 0.905 0.587 0.253
Br5 0.095 0.413 0.747
Br6 0.587 0.255 0.253
Y1 0.500 0.500 0.500
Pm1 0.000 0.000 0.000

---

(6)
Below is Cs2GaOs after structural relaxation, with properties calculated at the PBE level.

- Formation enthalpy at 0 K: 1518 meV/atom
- Total energy: -0.18177 Ry/atom
- SG: Fm-3m, No. 225

a = 5.906 Å, b = 5.906 Å, c = 5.906 Å
α = 60.00°, β = 60.00°, γ = 60.00°
Last column: magnetic moment on the atom in μB.
Fractional coordinates of all 4 atoms:
Os1 0.500 0.500 0.500  1.96
Ga1 0.000 0.000 0.000  -0.19
Cs1 0.250 0.250 0.250  -0.02
Cs2 0.750 0.750 0.750  -0.02

---

(7)
Below is Hf3ScC after structural relaxation, with properties calculated at the PBE level.

- Formation enthalpy at 0 K: 2522 meV/atom
- Total energy: -0.48224 Ry/atom
- SG: Pm-3m, No. 221

a = 4.932 Å, b = 4.932 Å, c = 4.932 Å
α = 90.00°, β = 90.00°, γ = 90.00°
Fractional coordinates of all 5 atoms:
Hf1 0.000 0.500 0.000
Hf2 0.000 0.000 0.500
Hf3 0.500 0.000 0.000
Sc1 0.000 0.000 0.000
C1 0.500 0.500 0.500

---

(8)
Below is AcHF6 after structural relaxation, with properties calculated at the PBE level.

- Total energy: -0.34695 Ry/atom
- SG: C2/m, No. 12

a = 4.602 Å, b = 7.574 Å, c = 4.559 Å
α = 97.99°, β = 59.69°, γ = 72.31°
Last column: magnetic moment on the atom in μB.
Fractional coordinates of all 8 atoms:
H1 0.000 0.000 0.000  0.00
F1 0.945 0.376 0.733  0.42
F2 0.055 0.624 0.267  0.42
F3 0.314 0.337 0.036  0.49
F4 0.686 0.663 0.964  0.49
F5 0.197 0.858 0.749  0.06
F6 0.803 0.142 0.251  0.06
Ac1 0.500 0.500 0.500  -0.02

---

(9)
Below is LaHo3Hg2 after structural relaxation, with properties calculated at the PBE level.

- Formation enthalpy at 0 K: -266 meV/atom
- Total energy: -0.25553 Ry/atom
- SG: C2/m, No. 12

a = 5.361 Å, b = 9.512 Å, c = 8.906 Å
α = 124.79°, β = 90.00°, γ = 106.37°
Fractional coordinates of all 12 atoms:
Ho1 0.065 0.130 0.407
Ho2 0.382 0.765 0.290
Ho3 0.695 0.389 0.389
Ho4 0.305 0.611 0.611
Ho5 0.618 0.235 0.710
Ho6 0.935 0.870 0.593
La1 0.132 0.263 0.077
La2 0.868 0.737 0.923
Hg1 0.224 0.449 0.840
Hg2 0.776 0.551 0.160
Hg3 0.494 0.988 0.155
Hg4 0.506 0.012 0.845

---

(10)
Below is GaTeCl2 after structural relaxation, with properties calculated at the PBE level.

- Total energy: -0.18888 Ry/atom
- SG: I4_1/amd, No. 141

a = 7.767 Å, b = 7.767 Å, c = 7.799 Å
α = 60.14°, β = 60.14°, γ = 90.00°
Last column: magnetic moment on the atom in μB.
Fractional coordinates of all 8 atoms:
Cl1 0.375 0.125 0.250  0.01
Cl2 0.875 0.625 0.750  0.01
Cl3 0.375 0.625 0.750  0.01
Cl4 0.375 0.625 0.250  0.01
Te1 0.750 0.250 0.500  0.98
Te2 0.000 0.000 0.000  0.98
Ga1 0.250 0.750 0.500  0.01
Ga2 0.500 0.500 0.000  0.01

---

- The highest total energy belongs to which entry?
  Cs2GaOs

---

- Look up the total energy of the ninth one.
  -0.25553 Ry/atom

---

- total energy of number 10 (GaTeCl2)?
  -0.18888 Ry/atom